# 1
The following is a DFT calculation (GGA-PBE) of SmAgPbF6 after structural relaxation.

Lattice parameters (Å, degrees): 6.1354 6.1354 10.5563 90.00 90.00 120.00
With the nearest neighbours (Å) after each atom.
Sites, in units of the cell vectors:
F 0.6810 0.0312 0.3673  1 Sm 2.27, 1 Pb 2.49, 1 Ag 2.51
F 0.3502 0.0312 0.1327  1 Sm 2.27, 1 Pb 2.49, 1 Ag 2.51
Sm 0.3333 0.6667 0.7500  6 F 2.27
Ag 0.6667 0.3333 0.7500  6 F 2.51
F 0.6498 0.6810 0.6327  1 Sm 2.27, 1 Pb 2.49, 1 Ag 2.51
F 0.9688 0.6498 0.3673  1 Sm 2.27, 1 Pb 2.49, 1 Ag 2.51
F 0.6498 0.9688 0.8673  1 Sm 2.27, 1 Pb 2.49, 1 Ag 2.51
Pb 0.0000 0.0000 0.0000  6 F 2.49
F 0.3502 0.3190 0.3673  1 Sm 2.27, 1 Pb 2.49, 1 Ag 2.51
Sm 0.6667 0.3333 0.2500  6 F 2.27
Pb 0.0000 0.0000 0.5000  6 F 2.49
F 0.3190 0.3502 0.8673  1 Sm 2.27, 1 Pb 2.49, 1 Ag 2.51
F 0.0312 0.3502 0.6327  1 Sm 2.27, 1 Pb 2.49, 1 Ag 2.51
F 0.6810 0.6498 0.1327  1 Sm 2.27, 1 Pb 2.49, 1 Ag 2.51
Ag 0.3333 0.6667 0.2500  6 F 2.51
F 0.3190 0.9688 0.6327  1 Sm 2.27, 1 Pb 2.49, 1 Ag 2.51
F 0.0312 0.6810 0.8673  1 Sm 2.27, 1 Pb 2.49, 1 Ag 2.51
F 0.9688 0.3190 0.1327  1 Sm 2.27, 1 Pb 2.49, 1 Ag 2.51

Calculated values
**Volume**: 19.119 A^3/atom
**Formation energy from raw total energies**: -2.781 eV per atom

---

# 2
The following is a DFT calculation (GGA-PBE) of ZrSc2Cr after structural relaxation.

Lattice parameters (Å, degrees): 5.5043 5.5043 5.5043 134.10 134.10 66.94
With the nearest neighbours (Å) after each atom.
Sites, in units of the cell vectors:
Sc 0.0000 0.0000 0.0000  4 Sc 3.04, 4 Zr 3.14, 4 Cr 3.14
Cr 0.7500 0.2500 0.5000  4 Zr 3.04, 8 Sc 3.14
Zr 0.2500 0.7500 0.5000  4 Cr 3.04, 8 Sc 3.14
Sc 0.5000 0.5000 0.0000  4 Sc 3.04, 4 Zr 3.14, 4 Cr 3.14

Calculated values
**Volume**: 21.154 A^3/atom
**Offset from the most stable computed form**: 80.3 meV/atom
**E_form**: 91 kJ/mol of formula units

---

# 3
The following is a DFT calculation (GGA-PBE) of Zr6NbTl after structural relaxation.

Lattice parameters (Å, degrees): 5.0442 5.0442 8.5591 72.86 72.86 60.00
With the nearest neighbours (Å) after each atom.
Sites, in units of the cell vectors:
Zr 0.2530 0.2530 0.2411  8 Zr 2.87-3.14
Zr 0.8769 0.8769 0.3693  1 Nb 2.97, 4 Zr 3.09-3.14, 3 Tl 3.10
Zr 0.7470 0.7470 0.7589  8 Zr 2.87-3.14
Zr 0.1231 0.1231 0.6307  1 Nb 2.97, 4 Zr 3.09-3.14, 3 Tl 3.10
Nb 0.0000 0.0000 0.0000  8 Zr 2.97-3.06
Tl 0.5000 0.5000 0.5000  8 Zr 3.09-3.10
Zr 0.3720 0.3720 0.8841  4 Zr 2.87-3.08, 3 Nb 3.06, 1 Tl 3.09
Zr 0.6280 0.6280 0.1159  4 Zr 2.87-3.08, 3 Nb 3.06, 1 Tl 3.09

Calculated values
**Volume**: 22.169 A^3/atom
**E_form**: 54 kJ/mol of formula units

---

| no. | total moment (μB/f.u.) |
| --- | --- |
| 1 | 0.00 |
| 2 | 2.11 |
| 3 | 0.00 |